# 1
11
Lattice="8.903 -2.464 0.000 8.903 2.464 0.000 -2.060 0.000 7.547" Properties=species:S:1:pos:R:3 comment="Dy2Ho8Zr, optimized geometry, DFT PBE" m_tot_mub_per_atom=0.0000 energy_ev_per_atom=-4.902 volume_a3_per_cell=331 de_polymorph_mev_per_atom=0 ef_ev_per_atom=0.041 pbc="T T T"
Dy 3.751 0.000 1.016
Dy 11.996 0.000 6.531
Ho 0.299 0.000 1.785
Ho 0.957 0.000 5.094
Ho 4.504 0.000 4.453
Ho 7.203 0.000 0.419
Ho 8.544 0.000 7.127
Ho 11.242 0.000 3.094
Ho 14.789 0.000 2.452
Ho 15.448 0.000 5.761
Zr 7.873 0.000 3.773

***

# 2
12
Lattice="8.589 -1.682 0.000 8.589 1.682 0.000 -6.154 0.000 12.452" Properties=species:S:1:pos:R:3 comment="Dy2Ho3Zr, optimized geometry, DFT PBE" m_tot_mub_per_atom=0.0000 energy_ev_per_atom=-5.070 volume_a3_per_cell=360 ef_ev_per_atom=0.178 pbc="T T T"
Dy -0.329 0.000 5.833
Dy 4.770 0.000 1.530
Dy 6.254 0.000 10.921
Dy 11.352 0.000 6.619
Ho 1.519 0.000 0.374
Ho 2.420 0.000 3.707
Ho 3.200 0.000 9.714
Ho 7.824 0.000 2.738
Ho 8.604 0.000 8.745
Ho 9.505 0.000 12.078
Zr -2.847 0.000 8.055
Zr 13.870 0.000 4.397

***

# 3
4
Lattice="3.935 0.000 0.000 0.000 3.935 0.000 0.000 0.000 6.823" Properties=species:S:1:pos:R:3 comment="DyHoZr2, optimized geometry, DFT PBE" m_tot_mub_per_atom=0.0000 energy_ev_per_atom=-6.350 volume_a3_per_cell=106 de_polymorph_mev_per_atom=138 ef_ev_per_atom=0.219 pbc="T T T"
Dy 0.000 0.000 0.000
Ho 0.000 0.000 3.412
Zr 1.968 1.968 1.832
Zr 1.968 1.968 4.992